This record from the Alexandria database describes a geometry-optimized PrEu3 structure. The functional is GGA-PBE.

Computed properties:
For the offset from the most stable computed form, the calculation gives 0.000 eV per atom. The magnetization comes out at 22.44 Bohr magnetons per cell.

Cell and atoms, written as CIF:
```
data_PrEu3
_symmetry_space_group_name_H-M 'P 1'
_symmetry_Int_Tables_number 1
_symmetry_space_group_name_Hall 'P 1'
_cell_length_a 7.328
_cell_length_b 7.328
_cell_length_c 7.328
_cell_angle_alpha 149.68
_cell_angle_beta 63.57
_cell_angle_gamma 125.59
loop_
_atom_site_label
_atom_site_type_symbol
_atom_site_fract_x
_atom_site_fract_y
_atom_site_fract_z
_atom_site_occupancy
Pr1 Pr 0.000 0.000 0.000 1
Eu1 Eu 0.079 0.331 0.747 1
Eu2 Eu 0.497 0.997 0.500 1
Eu3 Eu 0.584 0.331 0.253 1
```